Record 1
Entry from Alexandria via LeMat-Bulk: an optimized crystal structure of Tb6PmY3Tm2 (PBE).

Cell and atoms, written as POSCAR:
```
Tb6PmY3Tm2
1.0
6.161 0.002 0.010
-3.077 5.337 0.010
-1.041 -1.802 11.608
Y Tb Tm Pm
3 6 2 1
direct
0.500 0.500 0.500
0.833 0.167 0.500
0.167 0.833 0.500
0.084 0.418 0.249
0.250 0.250 0.751
0.582 0.916 0.751
0.916 0.582 0.751
0.418 0.084 0.249
0.750 0.750 0.249
0.333 0.667 0.000
0.667 0.333 0.000
0.000 0.000 0.000
```

Results
- ΔH_f (0 K) (meV per atom) = 18
- calculated volume (Å³ per atom) = 31.8
- magnetization (μB per formula unit) = 0.00

---

Record 2
Entry from Alexandria via LeMat-Bulk: an optimized crystal structure of Tb2Pm3YTm6 (PBE).

Cell and atoms, written as POSCAR:
```
Tb2Pm3YTm6
1.0
6.155 0.001 -0.002
-3.075 5.331 -0.002
-1.020 -1.765 11.514
Tm Y Tb Pm
6 1 2 3
direct
0.083 0.417 0.248
0.417 0.083 0.248
0.749 0.749 0.248
0.251 0.251 0.752
0.583 0.917 0.752
0.917 0.583 0.752
0.000 0.000 0.000
0.333 0.667 0.000
0.667 0.333 0.000
0.833 0.167 0.500
0.167 0.833 0.500
0.500 0.500 0.500
```

Results
- ΔH_f (0 K) (meV per atom) = 21
- calculated volume (Å³ per atom) = 31.5
- magnetization (μB per formula unit) = 0.00

---

Record 3
Entry from Alexandria via LeMat-Bulk: an optimized crystal structure of TbPm5YTm2 (PBE).

Cell and atoms, written as POSCAR:
```
TbPm5YTm2
1.0
5.638 0.000 0.000
-2.819 10.092 0.000
0.000 0.000 10.695
Pm Tm Tb Y
10 4 2 2
direct
0.719 0.438 0.812
0.281 0.562 0.312
0.481 0.962 0.741
0.388 0.775 0.022
0.701 0.403 0.208
0.017 0.035 0.020
0.983 0.965 0.520
0.612 0.225 0.522
0.519 0.038 0.241
0.299 0.597 0.708
0.115 0.230 0.314
0.885 0.770 0.814
0.888 0.777 0.238
0.112 0.223 0.738
0.411 0.822 0.458
0.589 0.178 0.958
0.801 0.601 0.511
0.199 0.399 0.011
```

Results
- ΔH_f (0 K) (meV per atom) = 148
- calculated volume (Å³ per atom) = 33.8
- magnetization (μB per formula unit) = 0.00

---

Record 4
Entry from Alexandria via LeMat-Bulk: an optimized crystal structure of TbPm2Y6Tm3 (PBE).

Cell and atoms, written as POSCAR:
```
TbPm2Y6Tm3
1.0
-2.483 -2.652 -4.989
-0.641 -2.647 5.538
-8.786 7.729 1.534
Y Tb Tm Pm
6 1 3 2
direct
0.248 0.248 0.747
0.752 0.752 0.253
0.915 0.582 0.747
0.582 0.915 0.747
0.418 0.085 0.253
0.085 0.418 0.253
0.000 0.000 0.000
0.167 0.833 0.500
0.833 0.167 0.500
0.500 0.500 0.500
0.333 0.667 0.000
0.667 0.333 0.000
```

Results
- ΔH_f (0 K) (meV per atom) = 23
- calculated volume (Å³ per atom) = 32.0
- magnetization (μB per formula unit) = 0.00

---

Q: Which of these has the highest calculated volume?
A: TbPm5YTm2

---

Q: Look up the ΔH_f (0 K) of the second one.
A: 21 meV per atom

---

Q: Among the records above, which one has the highest ΔH_f (0 K)?
A: TbPm5YTm2

---

Q: ΔH_f (0 K) of number 1 (Tb6PmY3Tm2)?
A: 18 meV per atom